(1)
A plane-wave DFT calculation with PBE-GGA was carried out for crystalline Cs2ZnGe3Se8 at its relaxed geometry.

Cell lengths 7.6959, 13.7331, 17.9377 Å; angles 90.00, 90.00, 90.00 degrees
Atoms (fractional coordinates):
Zn1 0.9894 0.4931 0.3505
Zn2 0.4894 0.0069 0.6495
Zn3 0.0106 0.9931 0.1495
Zn4 0.5106 0.5069 0.8505
Se1 0.7384 0.1225 0.6532
Se2 0.5179 0.3993 0.9640
Se3 0.2384 0.3775 0.3468
Se4 0.2595 0.8753 0.1511
Se5 0.2579 0.6214 0.0586
Se6 0.9853 0.6083 0.2426
Se7 0.4853 0.8917 0.7574
Se8 0.9953 0.4135 0.9551
Se9 0.5040 0.5855 0.2419
Se10 0.7595 0.6247 0.8489
Se11 0.7263 0.1201 0.8572
Se12 0.4960 0.0855 0.2581
Se13 0.7421 0.1214 0.4414
Se14 0.4953 0.0865 0.0449
Se15 0.9960 0.4145 0.7419
Se16 0.9821 0.6007 0.4640
Se17 0.7405 0.3753 0.3489
Se18 0.2263 0.3799 0.1428
Se19 0.2421 0.3786 0.5586
Se20 0.2737 0.6201 0.6428
Se21 0.0179 0.1007 0.0360
Se22 0.2616 0.6225 0.8468
Se23 0.5147 0.3917 0.7426
Se24 0.0040 0.9145 0.7581
Se25 0.0147 0.1083 0.2574
Se26 0.7737 0.8799 0.3572
Se27 0.4821 0.8993 0.5360
Se28 0.7579 0.8786 0.9414
Se29 0.0047 0.9135 0.5449
Se30 0.7616 0.8775 0.1532
Se31 0.5047 0.5865 0.4551
Se32 0.2405 0.1247 0.6511
Ge1 0.7607 0.0485 0.9799
Ge2 0.0098 0.5258 0.8486
Ge3 0.5098 0.9742 0.1514
Ge4 0.2607 0.4515 0.0201
Ge5 0.7683 0.0491 0.3178
Ge6 0.9902 0.0258 0.6514
Ge7 0.7393 0.9515 0.4799
Ge8 0.7317 0.9509 0.8178
Ge9 0.2393 0.5485 0.5201
Ge10 0.4902 0.4742 0.3486
Ge11 0.2317 0.5491 0.1822
Ge12 0.2683 0.4509 0.6822
Cs1 0.2360 0.2063 0.8505
Cs2 0.2477 0.1297 0.4443
Cs3 0.2523 0.8703 0.9443
Cs4 0.2640 0.7937 0.3505
Cs5 0.7360 0.2937 0.1495
Cs6 0.7523 0.6297 0.0557
Cs7 0.7477 0.3703 0.5557
Cs8 0.7640 0.7063 0.6495

Computed properties:
- Formation energy (no corrections): -9.275 eV/f.u.
- Density: 4.14 g cm⁻³
- Space-group type: P2_12_12_1, No. 19


(2)
A plane-wave DFT calculation with PBE-GGA was carried out for crystalline CsSi6Ge8 at its relaxed geometry.

Cell lengths 7.1140, 7.1140, 7.1140 Å; angles 100.09, 100.09, 100.09 degrees
Atoms (fractional coordinates):
Si1 0.4126 0.7893 0.7916
Si2 0.2084 0.5874 0.2107
Si3 0.7916 0.4126 0.7893
Si4 0.2107 0.2084 0.5874
Si5 0.5874 0.2107 0.2084
Si6 0.7893 0.7916 0.4126
Ge1 0.8372 0.5022 0.1606
Ge2 0.4978 0.8394 0.1628
Ge3 0.6213 0.6213 0.6213
Ge4 0.5022 0.1606 0.8372
Ge5 0.1606 0.8372 0.5022
Ge6 0.1628 0.4978 0.8394
Ge7 0.8394 0.1628 0.4978
Ge8 0.3787 0.3787 0.3787
Cs1 0.0000 0.0000 0.0000

Computed properties:
- Formation energy (no corrections): 2.964 eV/f.u.
- Density: 4.30 g cm⁻³
- Space-group type: R-3, No. 148
- Density of states at the Fermi level: 4.4 states/eV/cell


- The highest formation energy (no corrections) belongs to which entry?
  CsSi6Ge8